Density functional theory data (GGA-PBE) for Pm3TmTe6 after structural relaxation.

V	685.2	Å³/cell
total moment	0.000	μB/atom
raw formation energy	-1.38	eV per atom
SG	P2_1/c (14)

abc: 7.409 8.229 11.239
angles: 90.00 91.08 90.00
Element x y z (fractional)
Te  0.336  0.551  0.744
Pm  0.500  0.500  0.000
Te  0.334  0.828  0.080
Tm  0.000  0.000  0.000
Tm  0.500  0.500  0.500
Te  0.166  0.328  0.420
Te  0.343  0.821  0.422
Te  0.834  0.672  0.580
Te  0.664  0.449  0.256
Te  0.666  0.172  0.920
Te  0.843  0.679  0.922
Te  0.164  0.051  0.756
Pm  0.552  0.880  0.746
Pm  0.448  0.120  0.254
Te  0.836  0.949  0.244
Te  0.157  0.321  0.078
Pm  0.000  0.000  0.500
Pm  0.948  0.380  0.754
Te  0.657  0.179  0.578
Pm  0.052  0.620  0.246